## i
The following is a PBE calculation of a relaxed structure of SiW2Se, from Alexandria.

Cell lengths 8.388, 8.388, 8.388 Å; angles 20.35, 20.35, 20.35 degrees
Fractional coordinates of all 4 atoms:
Si 0.000 0.000 0.000
W 0.250 0.250 0.250
W 0.750 0.750 0.750
Se 0.500 0.500 0.500

Theoretical density = 12.6 g/cm3
DOS(E_F) = 5.04 states/eV/cell
Total magnetic moment = 0.00 μB/cell


## ii
The following is a PBE calculation of a relaxed structure of SiW2Se, from Alexandria.

Cell lengths 3.244, 3.244, 5.878 Å; angles 90.00, 90.00, 90.00 degrees
Fractional coordinates of all 4 atoms:
Si 0.000 0.000 0.000
W 0.000 0.000 0.486
W 0.500 0.500 0.173
Se 0.500 0.500 0.706

Theoretical density = 12.7 g/cm3
DOS(E_F) = 1.55 states/eV/cell
Total magnetic moment = 0.00 μB/cell


## iii
The following is a PBE calculation of a relaxed structure of SiW2Se, from Alexandria.

Cell lengths 8.120, 8.120, 8.120 Å; angles 21.97, 21.97, 21.97 degrees
Fractional coordinates of all 4 atoms:
Si 0.000 0.000 0.000
W 0.499 0.499 0.499
W 0.742 0.742 0.742
Se 0.243 0.243 0.243

Theoretical density = 12.0 g/cm3
DOS(E_F) = 2.29 states/eV/cell
Total magnetic moment = 0.00 μB/cell


Order of stability, best first: ii, iii, i